Entry 1:
Density functional theory data (PBE) for a geometry-optimized Mn3Cu5Cl12 structure.

It has space group Ia-3d (No. 230), with a = 14.866 Å, b = 14.866 Å, c = 14.866 Å, α = 90.00°, β = 90.00° and γ = 90.00°. The distinct sites, in fractional coordinates, are Mn at (0.000, 0.250, 0.125), Cu at (0.000, 0.000, 0.000), Cu at (0.000, 0.250, 0.375) and Cl at (0.024, 0.062, 0.653).

As for the total energy: -4.083 eV/atom.

***

Entry 2:
Density functional theory data (PBE) for a geometry-optimized MnCu4Cl structure.

It has space group F-43m (No. 216), with a = 7.070 Å, b = 7.070 Å, c = 7.070 Å, α = 90.00°, β = 90.00° and γ = 90.00°. The distinct sites, in fractional coordinates, are Mn at (0.000, 0.000, 0.000), Cu at (0.125, 0.125, 0.375) and Cl at (0.250, 0.250, 0.750).

As for the total energy: -4.238 eV/atom.

***

Entry 3:
Density functional theory data (PBE) for a geometry-optimized Mn2CuCl structure.

It has space group P4mm (No. 99), with a = 3.038 Å, b = 3.038 Å, c = 7.383 Å, α = 90.00°, β = 90.00° and γ = 90.00°. The distinct sites, in fractional coordinates, are Mn at (0.000, 0.000, 0.000), Mn at (0.500, 0.500, 0.238), Cu at (0.500, 0.500, 0.812) and Cl at (0.000, 0.000, 0.435).

As for the offset from the most stable computed form: 0.1071 eV/atom.

***

- Which formula does entry 2 have?
  MnCu4Cl